Record 1
## ZrU (PBE)

Data for a relaxed structure of ZrU.

The structure in POSCAR format:
```
ZrU
1.0
3.260 0.000 0.193
0.000 3.730 0.000
-0.381 0.000 7.300
Zr U
2 2
direct
0.250 0.750 0.631
0.750 0.250 0.369
0.680 0.250 0.907
0.320 0.750 0.093
```

Excess energy over the best structure of this formula in the dataset in meV per atom: 0
DFT formation energy in eV/atom: 0.09
SG: No. 11
D(E_F) in states/eV per atom: 2.05

Record 2
## AlCrRh2 (PBE)

Data for a relaxed structure of AlCrRh2.

The structure in POSCAR format:
```
AlCrRh2
1.0
4.316 0.000 0.000
2.158 3.738 0.000
2.158 1.246 3.524
Rh Al Cr
2 1 1
direct
0.250 0.250 0.250
0.000 0.000 0.000
0.500 0.500 0.500
0.750 0.750 0.750
```

DFT formation energy in eV/atom: -0.13
SG: No. 216
D(E_F) in states/eV per atom: 1.79

Record 3
## AcInS2O (PBE)

Data for a relaxed structure of AcInS2O.

The structure in POSCAR format:
```
AcInS2O
1.0
-2.881 -2.943 -0.590
2.705 -2.191 -2.279
4.100 -6.183 10.811
In Ac S O
2 2 4 2
direct
0.000 0.500 0.896
0.500 0.000 0.104
0.500 0.000 0.601
0.000 0.500 0.399
0.500 0.000 0.286
0.000 0.500 0.714
0.000 0.500 0.085
0.500 0.000 0.915
0.000 0.000 0.500
0.500 0.500 0.500
```

Uncorrected formation energy in eV per atom: -1.819
SG: No. 129

Record 4
## PmNd12In3 (PBE)

Data for a relaxed structure of PmNd12In3.

The structure in POSCAR format:
```
PmNd12In3
1.0
-3.181 -0.282 3.854
2.301 -4.150 1.595
12.698 11.390 11.313
Nd In Pm
12 3 1
direct
0.500 0.000 0.868
0.500 0.000 0.132
0.000 0.500 0.622
0.500 0.500 0.744
0.500 0.000 0.622
0.500 0.000 0.378
0.500 0.500 0.000
0.000 0.500 0.378
0.000 0.500 0.132
0.500 0.500 0.256
0.500 0.500 0.500
0.000 0.500 0.868
0.000 0.000 0.500
0.000 0.000 0.744
0.000 0.000 0.256
0.000 0.000 0.000
```

DFT formation energy in eV/atom: -0.20
SG: No. 123
D(E_F) in states/eV per atom: 1.45

Record 5
## TbPrBiO2 (PBE)

Data for a relaxed structure of TbPrBiO2.

The structure in POSCAR format:
```
TbPrBiO2
1.0
-3.967 -0.307 0.081
0.301 -3.961 -0.239
2.006 1.727 7.024
O Bi Pr Tb
2 1 1 1
direct
0.246 0.746 0.491
0.746 0.246 0.491
0.504 0.504 0.008
0.836 0.836 0.672
0.169 0.169 0.338
```

Uncorrected formation energy in eV per atom: -2.601
SG: No. 107
D(E_F) in states/eV per atom: 0.36

Record 6
## Ca2CrCu (PBE)

Data for a relaxed structure of Ca2CrCu.

The structure in POSCAR format:
```
Ca2CrCu
1.0
-0.634 2.206 -4.536
-2.104 -2.608 -3.823
-4.671 1.187 -1.619
Ca Cr Cu
2 1 1
direct
0.000 0.000 0.000
0.250 0.250 0.250
0.500 0.500 0.500
0.750 0.750 0.750
```

Excess energy over the best structure of this formula in the dataset in meV per atom: 218
DFT formation energy in eV/atom: 0.48
SG: No. 216
D(E_F) in states/eV per atom: 1.06

What did the first record say?
## ZrU (PBE)

Data for a relaxed structure of ZrU.

The structure in POSCAR format:
```
ZrU
1.0
3.260 0.000 0.193
0.000 3.730 0.000
-0.381 0.000 7.300
Zr U
2 2
direct
0.250 0.750 0.631
0.750 0.250 0.369
0.680 0.250 0.907
0.320 0.750 0.093
```

Excess energy over the best structure of this formula in the dataset in meV per atom: 0
DFT formation energy in eV/atom: 0.09
SG: No. 11
D(E_F) in states/eV per atom: 2.05

What did the fifth record say?
## TbPrBiO2 (PBE)

Data for a relaxed structure of TbPrBiO2.

The structure in POSCAR format:
```
TbPrBiO2
1.0
-3.967 -0.307 0.081
0.301 -3.961 -0.239
2.006 1.727 7.024
O Bi Pr Tb
2 1 1 1
direct
0.246 0.746 0.491
0.746 0.246 0.491
0.504 0.504 0.008
0.836 0.836 0.672
0.169 0.169 0.338
```

Uncorrected formation energy in eV per atom: -2.601
SG: No. 107
D(E_F) in states/eV per atom: 0.36